1.
Pm3MnPd12: relaxed, GGA-PBE.

abc: 4.142 4.142 16.341
angles: 90.00 90.00 90.00
Space group P4/mmm (No. 123)
One atom of each set of equivalent atoms:
Pm 0.000 0.000 0.000 [1 per cell]
Pm 0.000 0.000 0.259 [2 per cell]
Mn 0.000 0.000 0.500 [1 per cell]
Pd 0.000 0.500 0.129 [4 per cell]
Pd 0.000 0.500 0.389 [4 per cell]
Pd 0.500 0.500 0.000 [1 per cell]
Pd 0.500 0.500 0.259 [2 per cell]
Pd 0.500 0.500 0.500 [1 per cell]

## Properties
Crystal system: tetragonal
Formation enthalpy at 0 K: -0.633 eV per atom

---

2.
PmMnPdPt: relaxed, GGA-PBE.

abc: 6.778 6.778 6.778
angles: 90.00 90.00 90.00
Space group F-43m (No. 216)
One atom of each set of equivalent atoms:
Pm 0.000 0.000 0.000 [4 per cell]
Mn 0.000 0.000 0.500 [4 per cell]
Pd 0.250 0.250 0.750 [4 per cell]
Pt 0.250 0.250 0.250 [4 per cell]

## Properties
Crystal system: cubic
Formation enthalpy at 0 K: -0.529 eV per atom

---

3.
PmMnPdRh: relaxed, GGA-PBE.

abc: 6.677 6.677 6.677
angles: 90.00 90.00 90.00
Space group F-43m (No. 216)
One atom of each set of equivalent atoms:
Pm 0.000 0.000 0.000 [4 per cell]
Mn 0.000 0.000 0.500 [4 per cell]
Pd 0.250 0.250 0.750 [4 per cell]
Rh 0.250 0.250 0.250 [4 per cell]

## Properties
Crystal system: cubic
Formation enthalpy at 0 K: -0.382 eV per atom

---

4.
PmMnSbPd: relaxed, GGA-PBE.

abc: 7.048 7.048 7.048
angles: 90.00 90.00 90.00
Space group F-43m (No. 216)
One atom of each set of equivalent atoms:
Pm 0.000 0.000 0.000 [4 per cell]
Mn 0.000 0.000 0.500 [4 per cell]
Sb 0.250 0.250 0.250 [4 per cell]
Pd 0.250 0.250 0.750 [4 per cell]

## Properties
Crystal system: cubic
Energy relative to the elements, uncorrected: -328 meV/atom

---

5.
Pm2MnSiPd6: relaxed, GGA-PBE.

abc: 11.456 5.520 7.955
angles: 90.00 131.08 90.00
Space group C2/m (No. 12)
One atom of each set of equivalent atoms:
Pm 0.001 0.000 0.257 [4 per cell]
Mn 0.000 0.500 0.500 [2 per cell]
Si 0.000 0.500 0.000 [2 per cell]
Pd 0.162 0.500 0.913 [4 per cell]
Pd 0.240 0.251 0.286 [8 per cell]

## Properties
Crystal system: monoclinic
Energy relative to the elements, uncorrected: -573 meV/atom

---

6.
Pm2MnSnPd6: relaxed, GGA-PBE.

abc: 11.913 5.540 7.808
angles: 90.00 130.07 90.00
Space group C2/m (No. 12)
One atom of each set of equivalent atoms:
Pm 0.001 0.000 0.256 [4 per cell]
Mn 0.000 0.500 0.500 [2 per cell]
Sn 0.000 0.500 0.000 [2 per cell]
Pd 0.184 0.500 0.439 [4 per cell]
Pd 0.243 0.254 0.804 [8 per cell]

## Properties
Crystal system: monoclinic
Formation enthalpy at 0 K: -0.534 eV per atom